Record 1
Compound: InHgOs2
Source: Alexandria
Functional: GGA-PBEsol
Structure: optimized geometry

Lattice parameters (Å, degrees): 2.925 2.925 9.103 80.75 80.75 60.00
Atoms (fractional coordinates):
Os (0.749, 0.749, 0.754)
Hg (0.500, 0.500, 0.500)
Os (0.251, 0.251, 0.246)
In (0.000, 0.000, 0.000)

Output
**DOS(E_F)**: 3.85 states/eV per cell
**Crystal system**: trigonal
**Mass density**: 17.4 g cm⁻³
**Polymorph energy (0 for the lowest one)**: 0 meV per atom
**ΔH_f (0 K)**: 0.751 eV/atom



Record 2
Compound: RbGdH2S2O9
Source: Alexandria
Functional: GGA-PBEsol
Structure: optimized geometry

Lattice parameters (Å, degrees): 8.256 10.252 10.636 117.46 90.00 90.00
Each line ends with the local moment (μB).
Atoms (fractional coordinates):
O (0.315, 0.447, 0.024)  -0.01
H (0.498, 0.634, 0.978)  0.00
O (0.769, 0.046, 0.543)  0.00
O (0.928, 0.605, 0.880)  0.00
O (0.239, 0.567, 0.777)  0.00
S (0.834, 0.040, 0.155)  0.00
S (0.310, 0.510, 0.633)  0.00
O (0.453, 0.836, 0.304)  0.00
H (0.002, 0.634, 0.478)  0.00
O (0.231, 0.954, 0.457)  0.00
S (0.334, 0.960, 0.345)  0.00
O (0.428, 0.395, 0.620)  0.00
O (0.737, 0.059, 0.279)  0.00
O (0.072, 0.723, 0.521)  0.00
O (0.731, 0.046, 0.043)  0.00
O (0.953, 0.164, 0.196)  0.00
O (0.581, 0.897, 0.598)  0.00
O (0.428, 0.723, 0.021)  0.00
O (0.237, 0.941, 0.221)  0.00
O (0.919, 0.897, 0.098)  0.00
Rb (0.193, 0.231, 0.714)  0.00
H (0.502, 0.366, 0.022)  0.00
Gd (0.151, 0.754, 0.986)  6.90
S (0.190, 0.510, 0.133)  0.00
S (0.166, 0.960, 0.845)  0.00
H (0.998, 0.366, 0.522)  0.00
O (0.685, 0.553, 0.976)  -0.01
Rb (0.307, 0.231, 0.214)  0.00
Gd (0.651, 0.246, 0.514)  6.90
O (0.047, 0.836, 0.804)  0.00
O (0.895, 0.367, 0.878)  0.00
H (0.452, 0.765, 0.125)  0.00
O (0.072, 0.395, 0.120)  0.00
O (0.419, 0.103, 0.402)  0.00
S (0.690, 0.490, 0.367)  0.00
O (0.081, 0.103, 0.902)  0.00
H (0.952, 0.235, 0.375)  0.00
O (0.269, 0.954, 0.957)  0.00
O (0.739, 0.433, 0.723)  0.00
Rb (0.693, 0.769, 0.786)  0.00
O (0.105, 0.633, 0.122)  0.00
Gd (0.349, 0.754, 0.486)  6.90
S (0.810, 0.490, 0.867)  0.00
Rb (0.807, 0.769, 0.286)  0.00
O (0.763, 0.059, 0.779)  0.00
O (0.761, 0.433, 0.223)  0.00
O (0.395, 0.633, 0.622)  0.00
O (0.547, 0.164, 0.696)  0.00
H (0.048, 0.765, 0.625)  0.00
O (0.572, 0.605, 0.380)  0.00
O (0.261, 0.567, 0.277)  0.00
O (0.605, 0.367, 0.378)  0.00
O (0.928, 0.277, 0.479)  0.00
O (0.815, 0.553, 0.476)  -0.01
H (0.548, 0.235, 0.875)  0.00
O (0.263, 0.941, 0.721)  0.00
O (0.185, 0.447, 0.524)  -0.01
O (0.572, 0.277, 0.979)  0.00
Gd (0.849, 0.246, 0.014)  6.90
S (0.666, 0.040, 0.655)  0.00

Output
**DOS(E_F)**: 0.00 states/eV per cell
**Energy**: -7.12 eV per atom
**Crystal system**: monoclinic
**Mass density**: 3.8 g cm⁻³



Record 3
Compound: SmGd2S4
Source: Alexandria
Functional: GGA-PBEsol
Structure: optimized geometry

Lattice parameters (Å, degrees): 7.181 7.181 7.181 109.24 109.24 109.93
Each line ends with the local moment (μB).
Atoms (fractional coordinates):
S (0.525, 0.772, 0.900)  -0.02
Gd (0.495, 0.375, 0.620)  6.75
Gd (0.125, 0.505, 0.880)  6.75
S (0.872, 0.624, 0.100)  -0.02
S (0.376, 0.475, 0.248)  -0.02
S (0.228, 0.128, 0.752)  -0.02
S (0.378, 0.978, 0.252)  -0.02
S (0.725, 0.126, 0.748)  -0.02
Gd (0.625, 0.245, 0.120)  6.75
Sm (0.000, 0.000, 0.000)  -0.08
Gd (0.755, 0.875, 0.380)  6.75
Sm (0.250, 0.750, 0.500)  -0.08
S (0.874, 0.622, 0.600)  -0.02
S (0.022, 0.275, 0.400)  -0.02

Output
**DOS(E_F)**: 9.60 states/eV per cell
**Crystal system**: tetragonal
**E_form (uncorrected)**: -2.15 eV per atom
**Mass density**: 6.9 g cm⁻³



Record 4
Compound: FeTc2Os
Source: Alexandria
Functional: GGA-PBEsol
Structure: optimized geometry

Lattice parameters (Å, degrees): 2.615 2.615 8.701 90.00 90.00 114.08
Each line ends with the local moment (μB).
Atoms (fractional coordinates):
Os (0.500, 0.500, 0.258)  0.14
Tc (0.500, 0.500, 0.743)  0.11
Tc (0.000, 0.000, 0.997)  -0.08
Fe (0.000, 0.000, 0.502)  2.53

Output
**DOS(E_F)**: 4.98 states/eV per cell
**Crystal system**: orthorhombic
**Mass density**: 13.5 g cm⁻³
**Polymorph energy (0 for the lowest one)**: 275 meV per atom
**ΔH_f (0 K)**: 0.354 eV/atom



Record 5
Compound: MnSb2TeAu
Source: Alexandria
Functional: GGA-PBEsol
Structure: optimized geometry

Lattice parameters (Å, degrees): 4.891 4.891 4.985 90.00 90.00 90.00
Each line ends with the local moment (μB).
Atoms (fractional coordinates):
Mn (0.000, 0.000, 0.000)  1.85
Au (0.500, 0.500, 0.500)  -0.04
Sb (0.500, 0.000, 0.000)  -0.05
Sb (0.000, 0.500, 0.000)  -0.05
Te (0.000, 0.000, 0.500)  0.04

Output
**DOS(E_F)**: 3.49 states/eV per cell
**Crystal system**: tetragonal
**E_form (uncorrected)**: 0.49 eV per atom
**Mass density**: 8.7 g cm⁻³



Record 6
Compound: Na2LaInSb
Source: Alexandria
Functional: GGA-PBEsol
Structure: optimized geometry

Lattice parameters (Å, degrees): 5.899 6.389 6.389 90.00 90.00 90.00
Atoms (fractional coordinates):
La (0.000, 0.000, 0.000)
In (0.500, 0.500, 0.500)
Na (0.000, 0.000, 0.500)
Na (0.000, 0.500, 0.000)
Sb (0.500, 0.000, 0.000)

Output
**DOS(E_F)**: 5.29 states/eV per cell
**Crystal system**: tetragonal
**E_form (uncorrected)**: 0.62 eV per atom
**Mass density**: 2.9 g cm⁻³



Question: Which formula does entry 4 have?
Answer: FeTc2Os



Question: Which of these has the highest mass density?
Answer: InHgOs2



Question: Among the records above, which one has the lowest mass density?
Answer: Na2LaInSb



What did the fourth record say?
Compound: FeTc2Os
Source: Alexandria
Functional: GGA-PBEsol
Structure: optimized geometry

Lattice parameters (Å, degrees): 2.615 2.615 8.701 90.00 90.00 114.08
Each line ends with the local moment (μB).
Atoms (fractional coordinates):
Os (0.500, 0.500, 0.258)  0.14
Tc (0.500, 0.500, 0.743)  0.11
Tc (0.000, 0.000, 0.997)  -0.08
Fe (0.000, 0.000, 0.502)  2.53

Output
**DOS(E_F)**: 4.98 states/eV per cell
**Crystal system**: orthorhombic
**Mass density**: 13.5 g cm⁻³
**Polymorph energy (0 for the lowest one)**: 275 meV per atom
**ΔH_f (0 K)**: 0.354 eV/atom